Record 1
# CaAg3Ge | Alexandria | GGA-PBE | relaxed
# ρ: 6.03 g cm⁻³
# ΔE_f: 0.002 eV/atom
# DOS at the Fermi energy: 0.262 states/eV per atom
data_CaAg3Ge
_cell_length_a 4.9348
_cell_length_b 4.9348
_cell_length_c 4.9348
_cell_angle_alpha 90.00
_cell_angle_beta 90.00
_cell_angle_gamma 90.00
_space_group_name_H-M_alt 'P 1'
_space_group_IT_number 1
loop_
_space_group_symop_operation_xyz
'x,y,z'
loop_
_atom_site_label
_atom_site_type_symbol
_atom_site_fract_x
_atom_site_fract_y
_atom_site_fract_z
Ge1 Ge 0.0000 0.0000 0.0000
Ca1 Ca 0.5000 0.5000 0.5000
Ag1 Ag 0.0000 0.5000 0.0000
Ag2 Ag 0.0000 0.0000 0.5000
Ag3 Ag 0.5000 0.0000 0.0000


Record 2
# Ca2BeAl | Alexandria | GGA-PBE | relaxed
# ρ: 1.87 g cm⁻³
# ΔE_f: 0.039 eV/atom
# DOS at the Fermi energy: 0.862 states/eV per atom
data_Ca2BeAl
_cell_length_a 4.3514
_cell_length_b 4.1540
_cell_length_c 6.0792
_cell_angle_alpha 70.09
_cell_angle_beta 90.00
_cell_angle_gamma 90.00
_space_group_name_H-M_alt 'P 1'
_space_group_IT_number 1
loop_
_space_group_symop_operation_xyz
'x,y,z'
loop_
_atom_site_label
_atom_site_type_symbol
_atom_site_fract_x
_atom_site_fract_y
_atom_site_fract_z
Be1 Be 0.5000 0.5762 0.7217
Ca1 Ca 0.0000 0.9770 0.9217
Ca2 Ca 0.5000 0.2698 0.3356
Al1 Al 0.0000 0.6770 0.5211


Record 3
# La2CdSe | Alexandria | GGA-PBE | relaxed
# ρ: 6.58 g cm⁻³
# ΔE_f (raw): -931 meV/atom
# DOS at the Fermi energy: 0.923 states/eV per atom
data_La2CdSe
_cell_length_a 6.3087
_cell_length_b 6.3087
_cell_length_c 4.9477
_cell_angle_alpha 89.81
_cell_angle_beta 89.81
_cell_angle_gamma 36.93
_space_group_name_H-M_alt 'P 1'
_space_group_IT_number 1
loop_
_space_group_symop_operation_xyz
'x,y,z'
loop_
_atom_site_label
_atom_site_type_symbol
_atom_site_fract_x
_atom_site_fract_y
_atom_site_fract_z
Cd1 Cd 0.2654 0.2654 0.1239
La1 La 0.0028 0.0028 0.1259
La2 La 0.7478 0.7478 0.6242
Se1 Se 0.4840 0.4840 0.6259


Record 4
# Ca2OsPt | Alexandria | GGA-PBE | relaxed
# ρ: 9.57 g cm⁻³
# ΔE_f: 0.093 eV/atom
# DOS at the Fermi energy: 0.706 states/eV per atom
data_Ca2OsPt
_cell_length_a 5.1643
_cell_length_b 5.1643
_cell_length_c 5.1643
_cell_angle_alpha 129.13
_cell_angle_beta 129.12
_cell_angle_gamma 74.81
_space_group_name_H-M_alt 'P 1'
_space_group_IT_number 1
loop_
_space_group_symop_operation_xyz
'x,y,z'
loop_
_atom_site_label
_atom_site_type_symbol
_atom_site_fract_x
_atom_site_fract_y
_atom_site_fract_z
Ca1 Ca 0.0001 0.0001 0.0000
Ca2 Ca 0.4999 0.4999 0.0000
Os1 Os 0.7500 0.2500 0.5000
Pt1 Pt 0.2500 0.7500 0.5000


Record 5
# SrReN4 | Alexandria | GGA-PBE | relaxed
# ρ: 5.50 g cm⁻³
# ΔE_f (raw): 343 meV/atom
# DOS at the Fermi energy: 0.235 states/eV per atom
data_SrReN4
_cell_length_a 5.6339
_cell_length_b 5.6339
_cell_length_c 7.4347
_cell_angle_alpha 112.27
_cell_angle_beta 112.27
_cell_angle_gamma 90.00
_space_group_name_H-M_alt 'P 1'
_space_group_IT_number 1
loop_
_space_group_symop_operation_xyz
'x,y,z'
loop_
_atom_site_label
_atom_site_type_symbol
_atom_site_fract_x
_atom_site_fract_y
_atom_site_fract_z
Sr1 Sr 0.0000 0.0000 0.0000
Sr2 Sr 0.7500 0.2500 0.5000
Re1 Re 0.5000 0.5000 0.0000
Re2 Re 0.2500 0.7500 0.5000
N1 N 0.0372 0.9051 0.3387
N2 N 0.1835 0.2872 0.8387
N3 N 0.6551 0.5515 0.8387
N4 N 0.3015 0.4335 0.3387
N5 N 0.4485 0.8165 0.1613
N6 N 0.0949 0.6985 0.6613
N7 N 0.5665 0.9628 0.6613
N8 N 0.7128 0.3449 0.1613


Record 6
# HfCdAg2 | Alexandria | GGA-PBE | relaxed
# ρ: 10.61 g cm⁻³
# ΔE_f: 0.033 eV/atom
# DOS at the Fermi energy: 0.553 states/eV per atom
data_HfCdAg2
_cell_length_a 3.0498
_cell_length_b 3.0498
_cell_length_c 9.9959
_cell_angle_alpha 81.22
_cell_angle_beta 81.22
_cell_angle_gamma 60.00
_space_group_name_H-M_alt 'P 1'
_space_group_IT_number 1
loop_
_space_group_symop_operation_xyz
'x,y,z'
loop_
_atom_site_label
_atom_site_type_symbol
_atom_site_fract_x
_atom_site_fract_y
_atom_site_fract_z
Hf1 Hf 0.5000 0.5000 0.5000
Ag1 Ag 0.2499 0.2499 0.2503
Ag2 Ag 0.7501 0.7501 0.7497
Cd1 Cd 0.0000 0.0000 0.0000


Record 7
# ScGa6 | Alexandria | GGA-PBE | relaxed
# ρ: 4.52 g cm⁻³
# ΔE_f: 0.317 eV/atom
# DOS at the Fermi energy: 0.565 states/eV per atom
data_ScGa6
_cell_length_a 6.0463
_cell_length_b 6.0463
_cell_length_c 6.0463
_cell_angle_alpha 109.47
_cell_angle_beta 109.47
_cell_angle_gamma 109.47
_space_group_name_H-M_alt 'P 1'
_space_group_IT_number 1
loop_
_space_group_symop_operation_xyz
'x,y,z'
loop_
_atom_site_label
_atom_site_type_symbol
_atom_site_fract_x
_atom_site_fract_y
_atom_site_fract_z
Sc1 Sc 0.0000 0.0000 0.0000
Ga1 Ga 0.2500 0.7500 0.5000
Ga2 Ga 0.5000 0.7500 0.2500
Ga3 Ga 0.2500 0.5000 0.7500
Ga4 Ga 0.7500 0.2500 0.5000
Ga5 Ga 0.5000 0.2500 0.7500
Ga6 Ga 0.7500 0.5000 0.2500


Record 8
# PrDyZnCu | Alexandria | GGA-PBE | relaxed
# ρ: 7.74 g cm⁻³
# ΔE_f: -0.251 eV/atom
# DOS at the Fermi energy: 0.899 states/eV per atom
data_PrDyZnCu
_cell_length_a 3.5827
_cell_length_b 3.5827
_cell_length_c 7.2285
_cell_angle_alpha 90.00
_cell_angle_beta 90.00
_cell_angle_gamma 90.00
_space_group_name_H-M_alt 'P 1'
_space_group_IT_number 1
loop_
_space_group_symop_operation_xyz
'x,y,z'
loop_
_atom_site_label
_atom_site_type_symbol
_atom_site_fract_x
_atom_site_fract_y
_atom_site_fract_z
Pr1 Pr 0.5000 0.5000 0.1091
Dy1 Dy 0.5000 0.5000 0.5972
Zn1 Zn 0.0000 0.0000 0.8354
Cu1 Cu 0.0000 0.0000 0.3862


Record 9
# Li6TiPd12 | Alexandria | GGA-PBE | relaxed
# ρ: 8.13 g cm⁻³
# ΔE_f: -0.398 eV/atom
# DOS at the Fermi energy: 0.562 states/eV per atom
data_Li6TiPd12
_cell_length_a 7.2745
_cell_length_b 7.2745
_cell_length_c 7.2745
_cell_angle_alpha 110.93
_cell_angle_beta 110.93
_cell_angle_gamma 110.93
_space_group_name_H-M_alt 'P 1'
_space_group_IT_number 1
loop_
_space_group_symop_operation_xyz
'x,y,z'
loop_
_atom_site_label
_atom_site_type_symbol
_atom_site_fract_x
_atom_site_fract_y
_atom_site_fract_z
Li1 Li 0.6388 0.9470 0.4339
Li2 Li 0.5661 0.3612 0.0530
Li3 Li 0.0530 0.5661 0.3612
Li4 Li 0.3612 0.0530 0.5661
Li5 Li 0.4339 0.6388 0.9470
Li6 Li 0.9470 0.4339 0.6388
Ti1 Ti 0.0000 0.0000 0.0000
Pd1 Pd 0.7913 0.6889 0.5266
Pd2 Pd 0.5266 0.7913 0.6889
Pd3 Pd 0.6889 0.5266 0.7913
Pd4 Pd 0.2087 0.3111 0.4734
Pd5 Pd 0.4734 0.2087 0.3111
Pd6 Pd 0.3111 0.4734 0.2087
Pd7 Pd 0.9005 0.8350 0.2642
Pd8 Pd 0.1650 0.7358 0.0995
Pd9 Pd 0.7358 0.0995 0.1650
Pd10 Pd 0.0995 0.1650 0.7358
Pd11 Pd 0.8350 0.2642 0.9005
Pd12 Pd 0.2642 0.9005 0.8350


Record 10
# HgSb2Pb5 | Alexandria | GGA-PBE | relaxed
# ρ: 9.87 g cm⁻³
# ΔE_f (raw): 68 meV/atom
# DOS at the Fermi energy: 0.510 states/eV per atom
data_HgSb2Pb5
_cell_length_a 5.8329
_cell_length_b 6.8789
_cell_length_c 13.7087
_cell_angle_alpha 90.00
_cell_angle_beta 90.00
_cell_angle_gamma 115.09
_space_group_name_H-M_alt 'P 1'
_space_group_IT_number 1
loop_
_space_group_symop_operation_xyz
'x,y,z'
loop_
_atom_site_label
_atom_site_type_symbol
_atom_site_fract_x
_atom_site_fract_y
_atom_site_fract_z
Hg1 Hg 0.6873 0.3746 0.7500
Hg2 Hg 0.3127 0.6254 0.2500
Sb1 Sb 0.8284 0.6568 0.3746
Sb2 Sb 0.8284 0.6568 0.1254
Sb3 Sb 0.1716 0.3432 0.6254
Sb4 Sb 0.1716 0.3432 0.8746
Pb1 Pb 0.9196 0.8392 0.8796
Pb2 Pb 0.9196 0.8392 0.6204
Pb3 Pb 0.3672 0.7343 0.4770
Pb4 Pb 0.3672 0.7343 0.0230
Pb5 Pb 0.5973 0.1947 0.2500
Pb6 Pb 0.4027 0.8053 0.7500
Pb7 Pb 0.6328 0.2657 0.5230
Pb8 Pb 0.6328 0.2657 0.9770
Pb9 Pb 0.0804 0.1608 0.1204
Pb10 Pb 0.0804 0.1608 0.3796


Record 11
# Li2ThTl2S4 | Alexandria | GGA-PBE | relaxed
# ρ: 5.85 g cm⁻³
# ΔE_f (raw): -1224 meV/atom
# DOS at the Fermi energy: 0.000 states/eV per atom
data_Li2ThTl2S4
_cell_length_a 4.1885
_cell_length_b 7.5398
_cell_length_c 7.8227
_cell_angle_alpha 110.18
_cell_angle_beta 105.53
_cell_angle_gamma 90.00
_space_group_name_H-M_alt 'P 1'
_space_group_IT_number 1
loop_
_space_group_symop_operation_xyz
'x,y,z'
loop_
_atom_site_label
_atom_site_type_symbol
_atom_site_fract_x
_atom_site_fract_y
_atom_site_fract_z
Li1 Li 0.6839 0.9890 0.3678
Li2 Li 0.3161 0.0110 0.6322
Th1 Th 0.0000 0.0000 0.0000
Tl1 Tl 0.1421 0.5686 0.2842
Tl2 Tl 0.8579 0.4314 0.7158
S1 S 0.1983 0.1691 0.3966
S2 S 0.8017 0.8309 0.6034
S3 S 0.5186 0.7700 0.0372
S4 S 0.4814 0.2300 0.9628


Record 12
# K2AgN | Alexandria | GGA-PBE | relaxed
# ρ: 2.49 g cm⁻³
# ΔE_f (raw): 323 meV/atom
# DOS at the Fermi energy: 0.426 states/eV per atom
data_K2AgN
_cell_length_a 11.4093
_cell_length_b 11.4093
_cell_length_c 8.3230
_cell_angle_alpha 46.73
_cell_angle_beta 46.73
_cell_angle_gamma 90.00
_space_group_name_H-M_alt 'P 1'
_space_group_IT_number 1
loop_
_space_group_symop_operation_xyz
'x,y,z'
loop_
_atom_site_label
_atom_site_type_symbol
_atom_site_fract_x
_atom_site_fract_y
_atom_site_fract_z
K1 K 0.4059 0.1250 0.2500
K2 K 0.3441 0.6250 0.2500
K3 K 0.3750 0.5941 0.7500
K4 K 0.8750 0.6559 0.7500
Ag1 Ag 0.0000 0.0000 0.0000
Ag2 Ag 0.7500 0.2500 0.5000
N1 N 0.5000 0.5000 0.0000
N2 N 0.2500 0.7500 0.5000